K3Ta2MnO9: optimized geometry, PBE with a Hubbard U.

a b c (Å): 5.6223 5.6223 6.8858
angles (deg): 90.00 90.00 120.00
Last column: nearest neighbours and their distance in Å.
Space group P-3m1 (No. 164)
One atom of each set of equivalent atoms:
K: 0.0000 0.0000 0.0000  12 O 2.81-2.82
K: 0.3333 0.6667 0.6657  12 O 2.80-2.82
Ta: 0.3333 0.6667 0.1761  6 O 1.99-2.03
Mn: 0.0000 0.0000 0.5000  6 O 1.95
O: 0.0000 0.5000 0.0000  2 Ta 2.03
O: 0.1639 0.3278 0.3371  1 Mn 1.95, 1 Ta 1.99

Values from the calculation:
As for the density of states at the Fermi level: 6.716 states/eV per cell.

=====

KTa2Mn2O7: optimized geometry, PBE with a Hubbard U.

a b c (Å): 3.9877 4.1741 18.6690
angles (deg): 90.00 90.00 90.00
Last column: nearest neighbours and their distance in Å.
Space group Immm (No. 71)
One atom of each set of equivalent atoms:
K: 0.0000 0.0000 0.0000  12 O 2.88-2.93
Ta: 0.0000 0.0000 0.3943  6 O 1.97-2.18
Mn: 0.0000 0.5000 0.2726  5 O 2.09-2.20
O: 0.0000 0.0000 0.2776  4 Mn 2.09-2.20, 1 Ta 2.18
O: 0.0000 0.0000 0.5000  2 Ta 1.97
O: 0.0000 0.5000 0.1098  2 Ta 2.00
O: 0.0000 0.5000 0.3890  2 Ta 2.09, 1 Mn 2.17

Values from the calculation:
As for the density of states at the Fermi level: 3.477 states/eV per cell.

=====

K2TbMnO4: optimized geometry, PBE with a Hubbard U.

a b c (Å): 9.5815 9.4510 7.1285
angles (deg): 90.00 129.34 90.00
Last column: nearest neighbours and their distance in Å.
Space group C2/c (No. 15)
One atom of each set of equivalent atoms:
K: 0.0000 0.0000 0.0000  4 O 2.55-2.57
K: 0.2500 0.2500 0.0000  6 O 2.59-2.85
Tb: 0.0000 0.5000 0.0000  6 O 2.28-2.39
Mn: 0.2500 0.2500 0.5000  4 O 1.96-2.04
O: 0.0632 0.2645 0.5347  1 Mn 1.96
O: 0.2041 0.4617 0.4278  1 Mn 2.04

Values from the calculation:
As for the density of states at the Fermi level: 0.000 states/eV per cell.

=====

K3Tb2MnO6: optimized geometry, PBE with a Hubbard U.

a b c (Å): 6.0380 9.9982 6.6027
angles (deg): 90.00 109.14 90.00
Last column: nearest neighbours and their distance in Å.
Space group C2/m (No. 12)
One atom of each set of equivalent atoms:
K: 0.0000 0.0000 0.0000  6 O 2.67-2.74
K: 0.0000 0.3366 0.0000  6 O 2.67-2.97
Tb: 0.0000 0.1638 0.5000  6 O 2.26-2.37
Mn: 0.0000 0.5000 0.5000  4 O 2.04
O: 0.2110 0.3506 0.6704  1 Mn 2.04
O: 0.2180 0.0000 0.7077  2 Tb 2.26, 1 Mn 2.51

=====

KTbMnO3: optimized geometry, PBE with a Hubbard U.

a b c (Å): 7.4447 3.6885 9.1849
angles (deg): 90.00 111.20 90.00
Last column: nearest neighbours and their distance in Å.
Space group P2_1/m (No. 11)
One atom of each set of equivalent atoms:
K: 0.1958 0.2500 0.1703  5 O 2.80-2.95
Tb: 0.3304 0.7500 0.8585  6 O 2.21-2.43
Mn: 0.0208 0.2500 0.6255  4 O 1.89-2.01
O: 0.0660 0.7500 0.6084  3 Mn 1.89-2.01
O: 0.1209 0.2500 0.8490  1 Mn 1.91
O: 0.4635 0.7500 0.1164  3 Tb 2.21-2.36

=====

KMnTc2O8: optimized geometry, PBE with a Hubbard U.

a b c (Å): 5.8380 5.8380 7.4196
angles (deg): 90.00 90.00 120.00
Last column: nearest neighbours and their distance in Å.
Space group P-3 (No. 147)
One atom of each set of equivalent atoms:
K: 0.0000 0.0000 0.0000  6 O 2.93
Mn: 0.0000 0.0000 0.5000  6 O 2.14
Tc: 0.3333 0.6667 0.7537  4 O 1.74-1.77
O: 0.1655 0.8306 0.6771  1 Tc 1.77
O: 0.3333 0.6667 0.9887  1 Tc 1.74

Values from the calculation:
As for the density of states at the Fermi level: 6.043 states/eV per cell.

=====

K3Mn3TcO8: optimized geometry, PBE with a Hubbard U.

a b c (Å): 11.4345 6.0541 7.1006
angles (deg): 90.00 119.99 90.00
Last column: nearest neighbours and their distance in Å.
Space group C2/m (No. 12)
One atom of each set of equivalent atoms:
K: 0.0000 0.0000 0.0000  6 O 2.72
K: 0.2500 0.2500 0.0000  6 O 2.69-2.74
Mn: 0.0000 0.5000 0.5000  4 O 1.99
Mn: 0.2500 0.2500 0.5000  4 O 1.98-2.09
Tc: 0.0000 0.0000 0.5000  6 O 2.03-2.04
O: 0.0127 0.2561 0.3240  1 Mn 1.99, 1 Tc 2.04
O: 0.2046 0.0000 0.6571  1 Tc 2.03, 2 Mn 2.09
O: 0.2389 0.5000 0.6698  2 Mn 1.98

Values from the calculation:
As for the density of states at the Fermi level: 0.431 states/eV per cell.

=====

K2MnTcO6: optimized geometry, PBE with a Hubbard U.

a b c (Å): 6.0227 6.0227 4.9893
angles (deg): 90.00 90.00 120.00
Last column: nearest neighbours and their distance in Å.
Space group P-3m1 (No. 164)
One atom of each set of equivalent atoms:
K: 0.3333 0.6667 0.2118  12 O 3.03-3.34
Mn: 0.0000 0.0000 0.0000  6 O 1.95
Tc: 0.0000 0.0000 0.5000  6 O 1.94
O: 0.1432 0.2864 0.7492  1 Tc 1.94, 1 Mn 1.95

Values from the calculation:
As for the density of states at the Fermi level: 3.549 states/eV per cell.

=====

K2Mn2TcO6: optimized geometry, PBE with a Hubbard U.

a b c (Å): 5.5537 9.3638 6.5080
angles (deg): 90.00 107.69 90.00
Last column: nearest neighbours and their distance in Å.
Space group C2/m (No. 12)
One atom of each set of equivalent atoms:
K: 0.0000 0.1723 0.0000  6 O 2.71-2.77
Mn: 0.0000 0.3348 0.5000  6 O 2.15-2.23
Tc: 0.0000 0.0000 0.5000  6 O 1.98
O: 0.2093 0.1554 0.6728  1 Tc 1.98, 1 Mn 2.15
O: 0.2451 0.0000 0.3326  1 Tc 1.98, 2 Mn 2.16

Values from the calculation:
As for the density of states at the Fermi level: 7.242 states/eV per cell.

=====

K3MnTc2O9: optimized geometry, PBE with a Hubbard U.

a b c (Å): 5.6736 5.6736 7.0041
angles (deg): 90.00 90.00 120.00
Last column: nearest neighbours and their distance in Å.
Space group P-3m1 (No. 164)
One atom of each set of equivalent atoms:
K: 0.0000 0.0000 0.0000  12 O 2.80-2.84
K: 0.3333 0.6667 0.6693  12 O 2.84-2.92
Mn: 0.0000 0.0000 0.5000  6 O 2.16
Tc: 0.3333 0.6667 0.1721  6 O 1.84-2.03
O: 0.0000 0.5000 0.0000  2 Tc 2.03
O: 0.1759 0.3518 0.3151  1 Tc 1.84

Values from the calculation:
As for the density of states at the Fermi level: 3.498 states/eV per cell.

=====

KMnTeO4: optimized geometry, PBE with a Hubbard U.

a b c (Å): 6.8184 6.0347 7.1524
angles (deg): 90.00 114.24 90.00
Last column: nearest neighbours and their distance in Å.
Space group P2_1/m (No. 11)
One atom of each set of equivalent atoms:
K: 0.2021 0.2500 0.0140  4 O 2.68-2.80
Mn: 0.4908 0.2500 0.7007  4 O 1.82-2.02
Te: 0.2472 0.7500 0.5616  3 O 1.94-1.95
O: 0.2199 0.7500 0.2242  1 Mn 1.82
O: 0.3219 0.5017 0.7493  1 Te 1.94, 1 Mn 2.02
O: 0.4607 0.2500 0.4226  1 Mn 1.91, 1 Te 1.95

=====

KMnTeO6: optimized geometry, PBE with a Hubbard U.

a b c (Å): 5.1466 5.1466 6.1270
angles (deg): 90.00 90.00 120.00
Last column: nearest neighbours and their distance in Å.
Space group P312 (No. 149)
One atom of each set of equivalent atoms:
K: 0.0000 0.0000 0.0000  6 O 2.79
Mn: 0.3333 0.6667 0.5000  6 O 1.93
Te: 0.6667 0.3333 0.5000  6 O 1.96
O: 0.0045 0.3858 0.6791  1 Mn 1.93, 1 Te 1.96

Values from the calculation:
As for the density of states at the Fermi level: 4.971 states/eV per cell.

=====

K2Mn2Te2O: optimized geometry, PBE with a Hubbard U.

a b c (Å): 4.5695 4.5695 17.5046
angles (deg): 90.00 90.00 90.00
Last column: nearest neighbours and their distance in Å.
Space group I4/mmm (No. 139)
One atom of each set of equivalent atoms:
K: 0.0000 0.0000 0.1693  1 O 2.96
Mn: 0.0000 0.5000 0.0000  2 O 2.28
Te: 0.0000 0.0000 0.3849  4 Mn 3.05, 4 K 3.37
O: 0.0000 0.0000 0.0000  4 Mn 2.28

Values from the calculation:
As for the density of states at the Fermi level: 0.000 states/eV per cell.

=====

KMn2Te2O6: optimized geometry, PBE with a Hubbard U.

a b c (Å): 6.0142 9.7810 6.3358
angles (deg): 90.00 109.48 90.00
Last column: nearest neighbours and their distance in Å.
Space group C2/m (No. 12)
One atom of each set of equivalent atoms:
K: 0.0000 0.0000 0.0000  6 O 2.62-2.68
Mn: 0.0000 0.3457 0.0000  4 O 1.98-2.07
Te: 0.0000 0.3064 0.5000  2 O 2.00
O: 0.0298 0.5000 0.8098  2 Mn 1.98
O: 0.1017 0.2116 0.7967  1 Te 2.00, 1 Mn 2.07

Values from the calculation:
As for the density of states at the Fermi level: 3.779 states/eV per cell.

=====

KMnTe2O6: optimized geometry, PBE with a Hubbard U.

a b c (Å): 9.4533 12.8557 7.8497
angles (deg): 90.00 123.39 90.00
Last column: nearest neighbours and their distance in Å.
Space group C2/c (No. 15)
One atom of each set of equivalent atoms:
K: 0.0000 0.1687 0.2500  4 O 2.66-2.90
Mn: 0.0000 0.4607 0.2500  4 O 1.92-1.94
Te: 0.2301 0.1590 0.8385  3 O 1.88-1.99
O: 0.1181 0.4400 0.9719  1 Te 1.88, 1 Mn 1.94
O: 0.1470 0.2143 0.0521  1 Te 1.91
O: 0.1823 0.3634 0.3384  1 Mn 1.92, 1 Te 1.99

=====

KTiMnO4: optimized geometry, PBE with a Hubbard U.

a b c (Å): 5.4430 5.7221 7.1723
angles (deg): 90.00 103.88 90.00
Last column: nearest neighbours and their distance in Å.
Space group P2_1/m (No. 11)
One atom of each set of equivalent atoms:
K: 0.1039 0.2500 0.1185  4 O 2.61-2.75
Ti: 0.3821 0.2500 0.6633  4 O 1.82-1.86
Mn: 0.1722 0.7500 0.4619  4 O 1.94-2.14
O: 0.1557 0.0131 0.6707  1 Ti 1.84
O: 0.2771 0.7500 0.2114  1 Ti 1.86, 1 Mn 2.01
O: 0.4652 0.2500 0.4320  1 Ti 1.82, 1 Mn 1.94

Values from the calculation:
As for the density of states at the Fermi level: 0.525 states/eV per cell.

=====

K4MnTl3O8: optimized geometry, PBE with a Hubbard U.

a b c (Å): 11.6956 6.9973 7.3343
angles (deg): 90.00 123.04 90.00
Last column: nearest neighbours and their distance in Å.
Space group C2/m (No. 12)
One atom of each set of equivalent atoms:
K: 0.0000 0.0000 0.0000  6 O 2.67-2.73
K: 0.0000 0.5000 0.0000  6 O 2.81-2.95
K: 0.2500 0.2500 0.0000  6 O 2.69-2.74
Mn: 0.0000 0.0000 0.5000  2 O 1.98
Tl: 0.0000 0.5000 0.5000  6 O 2.28-2.38
Tl: 0.2500 0.2500 0.5000  6 O 2.27-2.44
O: 0.0189 0.2413 0.3084  2 Tl 2.27-2.38, 1 Mn 2.28
O: 0.2019 0.0000 0.6816  1 Mn 1.98
O: 0.2325 0.5000 0.6984  3 Tl 2.28-2.35

=====

KMn2TlO8: optimized geometry, PBE with a Hubbard U.

a b c (Å): 5.6869 5.6869 8.6658
angles (deg): 90.00 90.00 120.00
Last column: nearest neighbours and their distance in Å.
Space group P-3 (No. 147)
One atom of each set of equivalent atoms:
K: 0.0000 0.0000 0.0000  12 O 2.95-3.29
Mn: 0.3333 0.6667 0.7963  4 O 1.61-1.62
Tl: 0.0000 0.0000 0.5000  6 O 2.75
O: 0.1119 0.3666 0.7344  1 Mn 1.62
O: 0.3333 0.6667 0.9824  1 Mn 1.61

Values from the calculation:
As for the density of states at the Fermi level: 0.000 states/eV per cell.

=====

K2MnTlO4: optimized geometry, PBE with a Hubbard U.

a b c (Å): 8.4011 6.1500 5.9200
angles (deg): 90.00 90.00 90.00
Last column: nearest neighbours and their distance in Å.
Space group Pmn2_1 (No. 31)
One atom of each set of equivalent atoms:
K: 0.2400 0.2297 0.0000  5 O 2.75-3.01
Mn: 0.0000 0.1898 0.4996  4 O 1.71-1.74
Tl: 0.0000 0.7163 0.9995  2 O 2.43
O: 0.0000 0.0172 0.2657  1 Mn 1.74
O: 0.0000 0.0194 0.7353  1 Mn 1.74
O: 0.1712 0.3404 0.4987  1 Mn 1.71

=====

| no. | final energy (eV per cell) |
| --- | --- |
| 1 | -111.233 |
| 2 | -203.571 |
| 3 | -202.099 |
| 4 | -154.821 |
| 5 | -81.243 |
| 6 | -87.798 |
| 7 | -198.025 |
| 8 | -63.809 |
| 9 | -148.334 |
| 10 | -99.397 |
| 11 | -80.926 |
| 12 | -51.852 |
| 13 | -70.238 |
| 14 | -129.450 |
| 15 | -228.399 |
| 16 | -102.117 |
| 17 | -153.577 |
| 18 | -67.834 |
| 19 | -84.032 |